Compound: Ac3FeCu2O9
Source: Alexandria
Functional: PBE with a Hubbard U
Structure: relaxed

raw total energy: -103.12 eV/cell

Unit cell a=5.6012 b=5.6012 c=6.8680 alpha=90.00 beta=90.00 gamma=120.00
Space group P-3m1 (No. 164)
Inequivalent atoms, fractional coordinates:
Ac 0.0000 0.0000 0.0000 x1
Ac 0.3333 0.6667 0.6707 x2
Fe 0.0000 0.0000 0.5000 x1
Cu 0.3333 0.6667 0.1659 x2
O 0.0000 0.5000 0.0000 x3
O 0.1656 0.3311 0.3342 x6